[1]
{
  "formula": "MgCr2W",
  "functional": "GGA-PBEsol",
  "state": "optimized geometry",
  "lattice": [[4.305, 0.000, 0.000], [2.153, 3.729, 0.000], [2.153, 1.243, 3.515]],
  "species": ["Cr", "Cr", "Mg", "W"],
  "frac_coords": [[0.250, 0.250, 0.250], [0.750, 0.750, 0.750], [0.000, 0.000, 0.000], [0.500, 0.500, 0.500]],
  "e_form_ev_per_atom": 0.464
}

***

[2]
{
  "formula": "SrSc2Ni",
  "functional": "GGA-PBEsol",
  "state": "optimized geometry",
  "lattice": [[-1.224, 3.129, -1.624], [-4.247, -0.522, 2.193], [1.670, 2.662, 3.869]],
  "species": ["Ni", "Sc", "Sc", "Sr"],
  "frac_coords": [[0.000, 0.500, 0.500], [0.000, 0.000, 0.000], [0.500, 0.500, 0.000], [0.500, 0.000, 0.500]],
  "e_form_ev_per_atom": 0.332
}

***

[3]
{
  "formula": "Li2NiP",
  "functional": "GGA-PBEsol",
  "state": "optimized geometry",
  "lattice": [[-1.883, -1.433, -2.957], [1.031, -3.337, -1.465], [-2.823, -3.489, 1.063]],
  "species": ["Ni", "P", "Li", "Li"],
  "frac_coords": [[0.539, 0.539, 0.384], [0.208, 0.208, 0.376], [0.985, 0.985, 0.045], [0.763, 0.763, 0.711]],
  "e_form_ev_per_atom": -0.602
}

***

[4]
{
  "formula": "SrTlAg2",
  "functional": "GGA-PBEsol",
  "state": "optimized geometry",
  "lattice": [[3.788, 0.000, 0.000], [0.000, 3.794, 0.000], [0.000, 0.000, 6.817]],
  "species": ["Ag", "Ag", "Sr", "Tl"],
  "frac_coords": [[0.000, 0.000, 0.717], [0.000, 0.000, 0.283], [0.500, 0.500, 0.000], [0.500, 0.500, 0.500]],
  "e_form_ev_per_atom": -0.090
}

***

[5]
{
  "formula": "MgNiGe2O6",
  "functional": "GGA-PBEsol",
  "state": "optimized geometry",
  "lattice": [[5.145, -0.017, -0.016], [0.899, 6.457, 0.018], [0.899, 0.391, 6.445]],
  "species": ["Mg", "Mg", "Ni", "Ni", "Ge", "Ge", "Ge", "Ge", "O", "O", "O", "O", "O", "O", "O", "O", "O", "O", "O", "O"],
  "frac_coords": [[0.750, 0.267, 0.733], [0.250, 0.733, 0.267], [0.750, 0.910, 0.090], [0.250, 0.090, 0.910], [0.795, 0.397, 0.205], [0.705, 0.795, 0.603], [0.205, 0.603, 0.795], [0.295, 0.205, 0.397], [0.604, 0.292, 0.434], [0.896, 0.566, 0.708], [0.396, 0.708, 0.566], [0.104, 0.434, 0.292], [0.120, 0.135, 0.630], [0.380, 0.370, 0.865], [0.880, 0.865, 0.370], [0.620, 0.630, 0.135], [0.873, 0.204, 0.025], [0.627, 0.975, 0.796], [0.127, 0.796, 0.975], [0.373, 0.025, 0.204]],
  "final_energy_ev_per_atom": -6.6251
}

***

[6]
{
  "formula": "BaH3Au",
  "functional": "GGA-PBEsol",
  "state": "optimized geometry",
  "lattice": [[-1.948, 3.420, 0.828], [-3.364, -2.088, 0.710], [1.033, -0.349, 3.871]],
  "species": ["H", "H", "H", "Au", "Ba"],
  "frac_coords": [[0.000, 0.500, 0.000], [0.000, 0.000, 0.500], [0.500, 0.000, 0.000], [0.000, 0.000, 0.000], [0.500, 0.500, 0.500]],
  "final_energy_ev_per_atom": -3.5486
}

***

[7]
{
  "formula": "AlTl2Os",
  "functional": "GGA-PBEsol",
  "state": "optimized geometry",
  "lattice": [[3.673, 0.000, 0.000], [0.000, 3.673, 0.000], [0.000, 0.000, 5.627]],
  "species": ["Tl", "Tl", "Os", "Al"],
  "frac_coords": [[0.000, 0.000, 0.746], [0.000, 0.000, 0.254], [0.500, 0.500, 0.500], [0.500, 0.500, 0.000]],
  "e_form_ev_per_atom": 0.738
}

***

[8]
{
  "formula": "YRu3",
  "functional": "GGA-PBEsol",
  "state": "optimized geometry",
  "lattice": [[2.892, 0.000, 0.000], [0.000, 4.564, 0.000], [-1.446, -2.282, 4.850]],
  "species": ["Ru", "Ru", "Ru", "Y"],
  "frac_coords": [[0.777, 0.777, 0.555], [0.223, 0.223, 0.445], [0.500, 0.000, 0.000], [0.000, 0.500, 0.000]],
  "e_form_ev_per_atom": 0.230
}

***

[9]
{
  "formula": "BiPdIO2",
  "functional": "GGA-PBEsol",
  "state": "optimized geometry",
  "lattice": [[4.269, 0.000, 0.000], [0.000, 4.269, 0.000], [0.000, 0.000, 4.980]],
  "species": ["I", "O", "O", "Bi", "Pd"],
  "frac_coords": [[0.000, 0.000, 0.500], [0.000, 0.500, 0.000], [0.500, 0.000, 0.000], [0.500, 0.500, 0.500], [0.000, 0.000, 0.000]],
  "final_energy_ev_per_atom": -4.3021
}

***

[10]
{
  "formula": "Be2AlHg",
  "functional": "GGA-PBEsol",
  "state": "optimized geometry",
  "lattice": [[-1.621, 1.682, -2.044], [-2.417, -0.931, 3.507], [1.878, 3.734, 1.583]],
  "species": ["Be", "Be", "Hg", "Al"],
  "frac_coords": [[0.999, 0.998, 0.983], [0.256, 0.512, 0.781], [0.502, 0.004, 0.528], [0.743, 0.487, 0.209]],
  "e_form_ev_per_atom": 0.314
}

***

[11]
{
  "formula": "YOsBr",
  "functional": "GGA-PBEsol",
  "state": "optimized geometry",
  "lattice": [[-0.927, 0.810, -2.985], [-0.707, -3.089, -0.619], [-4.628, 2.001, 3.726]],
  "species": ["Y", "Os", "Br"],
  "frac_coords": [[0.323, 0.323, 0.647], [0.675, 0.675, 0.350], [0.002, 0.002, 0.003]],
  "final_energy_ev_per_atom": -6.7884
}

***

[12]
{
  "formula": "BaSi",
  "functional": "GGA-PBEsol",
  "state": "optimized geometry",
  "lattice": [[3.536, 0.000, 0.000], [0.000, 5.589, 0.000], [0.000, 0.000, 6.674]],
  "species": ["Ba", "Ba", "Si", "Si"],
  "frac_coords": [[0.000, 0.000, 0.766], [0.500, 0.500, 0.234], [0.000, 0.000, 0.280], [0.500, 0.500, 0.720]],
  "final_energy_ev_per_atom": -3.7580
}